(1)
Material: KHfI2N
Method: DFT, GGA-PBE
State: relaxed

Properties
Total magnetization, μB/cell: 0.279
DOS(E_F), states/eV/cell: 6.7
ΔE_f (raw), eV per atom: 1.4966

POSCAR file:
```
KHfI2N
1.0
5.974 0.000 0.000
0.000 5.974 0.000
0.000 0.000 4.204
K Hf I N
1 1 2 1
direct
0.000 0.000 0.000
0.500 0.500 0.500
0.000 0.500 0.000
0.500 0.000 0.000
0.000 0.000 0.500
```

(2)
Material: CaSb2Rh2
Method: DFT, GGA-PBE
State: relaxed

Properties
Total magnetization, μB/cell: 0.000
DOS(E_F), states/eV/cell: 2.3
ΔE_f (raw), eV per atom: -0.5165

POSCAR file:
```
CaSb2Rh2
1.0
-2.381 2.381 4.906
2.381 -2.381 4.906
2.381 2.381 -4.906
Ca Sb Rh
1 2 2
direct
0.000 0.000 0.000
0.250 0.750 0.500
0.750 0.250 0.500
0.365 0.365 0.000
0.635 0.635 0.000
```

(3)
Material: NbP2O2
Method: DFT, GGA-PBE
State: relaxed

Properties
Total magnetization, μB/cell: 1.363
DOS(E_F), states/eV/cell: 5.2
ΔE_f (raw), eV per atom: -0.3354

POSCAR file:
```
NbP2O2
1.0
3.633 0.000 0.000
0.000 3.633 0.000
0.000 0.000 4.700
Nb P O
1 2 2
direct
0.000 0.000 0.000
0.500 0.500 0.000
0.500 0.500 0.500
0.000 0.500 0.500
0.500 0.000 0.500
```

(4)
Material: RbIn3Pt3
Method: DFT, GGA-PBE
State: relaxed

Properties
Total magnetization, μB/cell: 0.000
DOS(E_F), states/eV/cell: 6.9
Energy of formation, eV per atom: -0.19

POSCAR file:
```
RbIn3Pt3
1.0
7.494 0.000 0.000
0.000 7.494 0.000
0.000 0.000 7.494
Rb In Pt
2 6 6
direct
0.000 0.000 0.000
0.500 0.500 0.500
0.000 0.250 0.500
0.000 0.750 0.500
0.250 0.500 0.000
0.500 0.000 0.250
0.500 0.000 0.750
0.750 0.500 0.000
0.000 0.500 0.250
0.000 0.500 0.750
0.250 0.000 0.500
0.500 0.250 0.000
0.500 0.750 0.000
0.750 0.000 0.500
```

(5)
Material: MgRuAu2
Method: DFT, GGA-PBE
State: relaxed

Properties
Total magnetization, μB/cell: 0.000
DOS(E_F), states/eV/cell: 1.7
Energy of formation, eV per atom: -0.07

POSCAR file:
```
MgRuAu2
1.0
4.256 0.000 0.000
0.000 4.256 0.000
0.000 0.000 3.683
Mg Ru Au
1 1 2
direct
0.000 0.000 0.000
0.500 0.500 0.000
0.000 0.500 0.500
0.500 0.000 0.500
```

(6)
Material: ZrBeW
Method: DFT, GGA-PBE
State: relaxed

Properties
Total magnetization, μB/cell: 0.000
DOS(E_F), states/eV/cell: 3.5
Energy of formation, eV per atom: 0.40

POSCAR file:
```
ZrBeW
1.0
4.615 0.000 0.000
-2.307 3.996 0.000
0.000 0.000 2.666
Zr Be W
1 1 1
direct
0.000 0.000 0.000
0.333 0.667 0.392
0.667 0.333 0.610
```

(7)
Material: ScAl2Tl2
Method: DFT, GGA-PBE
State: relaxed

Properties
Total magnetization, μB/cell: 0.000
DOS(E_F), states/eV/cell: 6.7
Energy of formation, eV per atom: 0.11

POSCAR file:
```
ScAl2Tl2
1.0
7.707 0.000 0.000
0.000 7.707 0.000
0.000 0.000 3.867
Sc Al Tl
2 4 4
direct
0.000 0.000 0.000
0.500 0.500 0.000
0.124 0.376 0.000
0.376 0.876 0.000
0.624 0.124 0.000
0.876 0.624 0.000
0.177 0.677 0.500
0.323 0.177 0.500
0.677 0.823 0.500
0.823 0.323 0.500
```

(8)
Material: LiCu2Pd2
Method: DFT, GGA-PBE
State: relaxed

Properties
Total magnetization, μB/cell: 0.000
DOS(E_F), states/eV/cell: 1.3
Energy of formation, eV per atom: -0.22

POSCAR file:
```
LiCu2Pd2
1.0
4.093 -1.915 0.000
4.093 1.915 0.000
-3.921 0.000 4.301
Li Cu Pd
1 2 2
direct
0.000 0.000 0.000
0.192 0.192 0.593
0.808 0.808 0.407
0.410 0.410 0.200
0.590 0.590 0.800
```

(9)
Material: Ce2SmLu
Method: DFT, GGA-PBE
State: relaxed

Properties
Total magnetization, μB/cell: 1.845
DOS(E_F), states/eV/cell: 15.5
Energy of formation, eV per atom: 0.24

POSCAR file:
```
Ce2SmLu
1.0
0.000 3.980 3.980
3.980 0.000 3.980
3.980 3.980 0.000
Ce Sm Lu
2 1 1
direct
0.250 0.250 0.250
0.750 0.750 0.750
0.000 0.000 0.000
0.500 0.500 0.500
```

(10)
Material: Rb2NaNi
Method: DFT, GGA-PBE
State: relaxed

Properties
Total magnetization, μB/cell: 0.000
DOS(E_F), states/eV/cell: 9.2
Energy of formation, eV per atom: 0.62

POSCAR file:
```
Rb2NaNi
1.0
0.000 4.321 4.321
4.321 0.000 4.321
4.321 4.321 0.000
Rb Na Ni
2 1 1
direct
0.250 0.250 0.250
0.750 0.750 0.750
0.000 0.000 0.000
0.500 0.500 0.500
```

(11)
Material: Pm3Pr2Tl6
Method: DFT, GGA-PBE
State: relaxed

Properties
Total magnetization, μB/cell: 0.000
DOS(E_F), states/eV/cell: 13.8
Energy of formation, eV per atom: 0.09

POSCAR file:
```
Pm3Pr2Tl6
1.0
-3.026 3.026 11.465
3.026 -3.026 11.465
3.026 3.026 -11.465
Pm Pr Tl
3 2 6
direct
0.000 0.000 0.000
0.141 0.141 0.000
0.859 0.859 0.000
0.420 0.420 0.000
0.580 0.580 0.000
0.069 0.569 0.500
0.279 0.279 0.000
0.431 0.931 0.500
0.569 0.069 0.500
0.721 0.721 0.000
0.931 0.431 0.500
```

(12)
Material: Na3Tb2HoS6
Method: DFT, GGA-PBE
State: relaxed

Properties
Total magnetization, μB/cell: 0.000
DOS(E_F), states/eV/cell: 0.0
ΔE_f (raw), eV per atom: -1.8479

POSCAR file:
```
Na3Tb2HoS6
1.0
3.457 -5.987 0.000
3.457 5.987 0.000
-2.304 0.000 6.682
Na Tb Ho S
3 2 1 6
direct
0.000 0.000 0.000
0.333 0.667 0.000
0.667 0.333 0.000
0.167 0.833 0.500
0.833 0.167 0.500
0.500 0.500 0.500
0.093 0.424 0.273
0.244 0.244 0.727
0.424 0.093 0.273
0.576 0.907 0.727
0.756 0.756 0.273
0.907 0.576 0.727
```